Model one:
A plane-wave DFT calculation with GGA-PBE was carried out for a geometry-optimized Ho structure.

Results
Density = 8.5 g/cm3
Space group = Pm-3n

Lattice parameters (Å, degrees): 6.3676 6.3676 6.3676 90.00 90.00 90.00
Closest atoms and distances in Å follow each position.
Element x y z (fractional)
1 Ho 0.0000 0.0000 0.0000  12 Ho 3.56
2 Ho 0.5000 0.2500 0.0000  6 Ho 3.18-3.56
3 Ho 0.5000 0.7500 0.0000  6 Ho 3.18-3.56
4 Ho 0.0000 0.5000 0.2500  6 Ho 3.18-3.56
5 Ho 0.2500 0.0000 0.5000  6 Ho 3.18-3.56
6 Ho 0.7500 0.0000 0.5000  6 Ho 3.18-3.56
7 Ho 0.5000 0.5000 0.5000  12 Ho 3.56
8 Ho 0.0000 0.5000 0.7500  6 Ho 3.18-3.56

Model two:
A plane-wave DFT calculation with GGA-PBE was carried out for a geometry-optimized Ho structure.

Results
Density = 9.1 g/cm3
Space group = R-3m

Lattice parameters (Å, degrees): 3.4575 3.4575 3.4575 118.90 118.90 61.10
Closest atoms and distances in Å follow each position.
Element x y z (fractional)
1 Ho 0.0000 0.0000 0.0000  12 Ho 3.46-3.51

Model three:
A plane-wave DFT calculation with GGA-PBE was carried out for a geometry-optimized Ho structure.

Results
Density = 9.0 g/cm3
Space group = I4/mmm

Lattice parameters (Å, degrees): 3.5191 3.5191 3.5052 120.13 120.13 90.00
Closest atoms and distances in Å follow each position.
Element x y z (fractional)
1 Ho 0.0000 0.0000 0.0000  12 Ho 3.51-3.52

Stability ranking, top entry: model three; the second entry is 6 meV per atom less favorable.